1.
Ba2ScOsS6: optimized geometry, PBE-GGA.

Geometry as POSCAR:
```
Ba2ScOsS6
1.0
3.4513 1.9926 5.5654
-3.4513 1.9926 5.5654
0.0000 -3.9852 5.5654
S Sc Ba Os
6 1 2 1
Direct
0.2258 0.2897 0.7409
0.7103 0.2591 0.7742
0.7409 0.2258 0.2897
0.2591 0.7742 0.7103
0.2897 0.7409 0.2258
0.7742 0.7103 0.2591
0.0000 0.0000 0.0000
0.7501 0.7501 0.7501
0.2499 0.2499 0.2499
0.5000 0.5000 0.5000
```

Output
- ΔE to the lowest computed polymorph: 0.0 meV per atom

=====

2.
Ba2ScOsS6: optimized geometry, PBE-GGA.

Geometry as POSCAR:
```
Ba2ScOsS6
1.0
-3.4411 3.4411 4.8690
3.4411 -3.4411 4.8690
3.4411 3.4411 -4.8690
Sc S Os Ba
1 6 1 2
Direct
0.5000 0.5000 0.0000
0.7576 0.7576 0.0000
0.7512 0.2360 0.9872
0.2360 0.2488 0.4849
0.2488 0.7640 0.0128
0.7640 0.7512 0.5151
0.2424 0.2424 0.0000
0.0000 0.0000 0.0000
0.2500 0.7500 0.5000
0.7500 0.2500 0.5000
```

Output
- ΔE to the lowest computed polymorph: 4.1 meV per atom

=====

3.
Ba2SmOsS6: optimized geometry, PBE-GGA.

Geometry as POSCAR:
```
Ba2SmOsS6
1.0
2.5375 1.2111 6.5525
0.1031 7.0444 -1.0985
-5.9575 -3.7896 -0.9937
Ba S Sm Os
2 6 1 1
Direct
0.2500 0.7500 0.5000
0.7500 0.2500 0.5000
0.6801 0.2147 0.8949
0.3199 0.7853 0.1051
0.7853 0.6801 0.4654
0.2147 0.3199 0.5346
0.2667 0.2667 0.0000
0.7333 0.7333 0.0000
0.0000 0.0000 0.0000
0.5000 0.5000 0.0000
```

Output
- Energy: -5.724 eV per atom

=====

4.
Ba2SmOsS6: optimized geometry, PBE-GGA.

Geometry as POSCAR:
```
Ba2SmOsS6
1.0
7.0179 0.0000 0.0000
3.4486 6.1213 0.0000
3.4288 1.9360 5.8819
S Sm Ba Os
6 1 2 1
Direct
0.7255 0.8317 0.7034
0.2745 0.1683 0.2966
0.2214 0.2584 0.8120
0.6968 0.2702 0.7951
0.3032 0.7298 0.2049
0.7786 0.7416 0.1880
0.0000 0.5000 0.5000
0.2501 0.7470 0.7560
0.7499 0.2530 0.2440
0.5000 0.0000 0.0000
```

Output
- Energy: -5.724 eV per atom

=====

5.
Ba2SmOsS6: optimized geometry, PBE-GGA.

Geometry as POSCAR:
```
Ba2SmOsS6
1.0
6.1012 -3.5060 0.0000
6.1012 3.5060 0.0000
-4.1674 0.0000 5.8984
Ba Os S Sm
2 1 6 1
Direct
0.7536 0.7536 0.7595
0.2464 0.2464 0.2405
0.5000 0.5000 0.0000
0.2997 0.7724 0.8052
0.7724 0.2997 0.8052
0.2276 0.7003 0.1948
0.2681 0.2681 0.7014
0.7003 0.2276 0.1948
0.7319 0.7319 0.2986
0.0000 0.0000 0.5000
```

Output
- Energy: -5.724 eV per atom

=====

6.
Ba2SnOsS6: optimized geometry, PBE-GGA.

Geometry as POSCAR:
```
Ba2SnOsS6
1.0
7.0093 0.0000 0.0000
0.0000 7.0093 0.0000
3.5046 3.5046 4.9563
Sn S Ba Os
1 6 2 1
Direct
0.5000 0.5000 0.0000
0.2395 0.2395 0.0000
0.7605 0.2395 0.0000
0.7605 0.7605 0.0000
0.2395 0.2395 0.5211
0.7605 0.7605 0.4789
0.2395 0.7605 0.0000
0.7500 0.2500 0.5000
0.2500 0.7500 0.5000
0.0000 0.0000 0.0000
```

Output
- ΔE to the lowest computed polymorph: 71.4 meV per atom

=====

In order of appearance, V = 22.96, 23.06, 25.21, 25.27, 25.23, 24.35 Å³/atom.